# 1
The following is a PBE calculation of HfZnCd after structural relaxation, from Alexandria.

Results
**Space group**: I4mm, No. 107
**Crystal system**: tetragonal
**Total energy**: -24.77 eV for the cell shown
**V**: 114.8 Å³/cell
**Total magnetic moment**: 0.00 μB per cell
**Calculated formation energy**: -82 meV/atom

Unit cell a=3.0910 b=3.0910 c=12.0175 alpha=90.00 beta=90.00 gamma=90.00
Element x y z (fractional)
Hf (0.0000, 0.0000, 0.0000)
Hf (0.5000, 0.5000, 0.5000)
Zn (0.0000, 0.0000, 0.6527)
Zn (0.5000, 0.5000, 0.1527)
Cd (0.0000, 0.0000, 0.3111)
Cd (0.5000, 0.5000, 0.8111)



# 2
The following is a PBE calculation of Hf2ZnCd after structural relaxation, from Alexandria.

Results
**Space group**: Cm, No. 8
**Crystal system**: monoclinic
**Total energy**: -89.59 eV for the cell shown
**V**: 320.5 Å³/cell
**Total magnetic moment**: 0.00 μB per cell
**Excess energy over the best structure of this formula in the dataset**: 25 meV/atom
**Calculated formation energy**: -75 meV/atom

Unit cell a=12.0073 b=3.1595 c=10.1312 alpha=90.00 beta=123.49 gamma=90.00
Element x y z (fractional)
Hf (0.0000, 0.0000, 0.0000)
Hf (0.0073, 0.5000, 0.7411)
Hf (0.2426, 0.0000, 0.3932)
Hf (0.2566, 0.5000, 0.6581)
Hf (0.5000, 0.5000, 0.0000)
Hf (0.5073, 0.0000, 0.7411)
Hf (0.7426, 0.5000, 0.3932)
Hf (0.7566, 0.0000, 0.6581)
Zn (0.0002, 0.5000, 0.2365)
Zn (0.2574, 0.0000, 0.9035)
Zn (0.5002, 0.0000, 0.2365)
Zn (0.7574, 0.5000, 0.9035)
Cd (0.2604, 0.5000, 0.1334)
Cd (0.4972, 0.5000, 0.4665)
Cd (0.7604, 0.0000, 0.1334)
Cd (0.9972, 0.0000, 0.4665)



# 3
The following is a PBE calculation of Hf2ZnCd after structural relaxation, from Alexandria.

Results
**Space group**: Cm, No. 8
**Crystal system**: monoclinic
**Total energy**: -89.20 eV for the cell shown
**V**: 326.2 Å³/cell
**Total magnetic moment**: 0.00 μB per cell
**Excess energy over the best structure of this formula in the dataset**: 50 meV/atom
**Calculated formation energy**: -51 meV/atom

Unit cell a=11.3704 b=3.2753 c=8.7624 alpha=90.00 beta=91.22 gamma=90.00
Element x y z (fractional)
Hf (0.0000, 0.0000, 0.0000)
Hf (0.0700, 0.0000, 0.4973)
Hf (0.1698, 0.5000, 0.7850)
Hf (0.4110, 0.0000, 0.7232)
Hf (0.5000, 0.5000, 0.0000)
Hf (0.5700, 0.5000, 0.4973)
Hf (0.6698, 0.0000, 0.7850)
Hf (0.9110, 0.5000, 0.7232)
Zn (0.2878, 0.0000, 0.0074)
Zn (0.4211, 0.0000, 0.2651)
Zn (0.7878, 0.5000, 0.0074)
Zn (0.9211, 0.5000, 0.2651)
Cd (0.1659, 0.5000, 0.2054)
Cd (0.3000, 0.5000, 0.4754)
Cd (0.6659, 0.0000, 0.2054)
Cd (0.8000, 0.0000, 0.4754)



# 4
The following is a PBE calculation of HfZnCd after structural relaxation, from Alexandria.

Results
**Space group**: P-6m2, No. 187
**Crystal system**: hexagonal
**Total energy**: -12.27 eV for the cell shown
**V**: 57.3 Å³/cell
**Total magnetic moment**: 0.00 μB per cell
**Calculated formation energy**: -42 meV/atom

Unit cell a=4.6162 b=4.6162 c=3.1063 alpha=90.00 beta=90.00 gamma=120.00
Element x y z (fractional)
Hf (0.0000, 0.0000, 0.0000)
Zn (0.6667, 0.3333, 0.5000)
Cd (0.3333, 0.6667, 0.5000)



# 5
The following is a PBE calculation of HfZn2Cd after structural relaxation, from Alexandria.

Results
**Space group**: P4/mmm, No. 123
**Crystal system**: tetragonal
**Total energy**: -13.77 eV for the cell shown
**V**: 72.6 Å³/cell
**Total magnetic moment**: 0.00 μB per cell
**Calculated formation energy**: -90 meV/atom

Unit cell a=3.0954 b=3.0954 c=7.5810 alpha=90.00 beta=90.00 gamma=90.00
Element x y z (fractional)
Hf (0.0000, 0.0000, 0.0000)
Zn (0.5000, 0.5000, 0.2495)
Zn (0.5000, 0.5000, 0.7505)
Cd (0.0000, 0.0000, 0.5000)



# 6
The following is a PBE calculation of Hf2ZnCd after structural relaxation, from Alexandria.

Results
**Space group**: C2/m, No. 12
**Crystal system**: monoclinic
**Total energy**: -89.17 eV for the cell shown
**V**: 322.6 Å³/cell
**Total magnetic moment**: 0.00 μB per cell
**Excess energy over the best structure of this formula in the dataset**: 51 meV/atom
**Calculated formation energy**: -49 meV/atom

Unit cell a=11.7651 b=3.3118 c=9.8514 alpha=90.00 beta=122.82 gamma=90.00
Element x y z (fractional)
Hf (0.0051, 0.0000, 0.2554)
Hf (0.2398, 0.0000, 0.6207)
Hf (0.2602, 0.5000, 0.3793)
Hf (0.4949, 0.5000, 0.7446)
Hf (0.5051, 0.5000, 0.2554)
Hf (0.7398, 0.5000, 0.6207)
Hf (0.7602, 0.0000, 0.3793)
Hf (0.9949, 0.0000, 0.7446)
Zn (0.0000, 0.5000, 0.0000)
Zn (0.0000, 0.5000, 0.5000)
Zn (0.5000, 0.0000, 0.0000)
Zn (0.5000, 0.0000, 0.5000)
Cd (0.2340, 0.0000, 0.1106)
Cd (0.2660, 0.5000, 0.8894)
Cd (0.7340, 0.5000, 0.1106)
Cd (0.7660, 0.0000, 0.8894)